Record 1
The following is a DFT calculation (GGA-PBE) of a geometry-optimized Zr2InC structure.

Cell lengths 3.372, 3.372, 15.097 Å; angles 90.00, 90.00, 120.00 degrees
Element x y z (fractional)
Zr1 0.000 0.000 0.167
Zr2 0.000 0.000 0.833
Zr3 0.667 0.333 0.331
Zr4 0.667 0.333 0.669
In1 0.000 0.000 0.500
In2 0.667 0.333 0.000
C1 0.333 0.667 0.250
C2 0.333 0.667 0.750

Calculated values
Uncorrected energy = -7.96 eV/atom
Space-group type = P-6m2, No. 187



Record 2
The following is a DFT calculation (GGA-PBE) of a geometry-optimized ZrPaHg structure.

Cell lengths 4.966, 4.966, 4.966 Å; angles 60.00, 60.00, 60.00 degrees
Element x y z (fractional)
Zr1 0.000 0.000 0.000
Pa1 0.750 0.750 0.750
Hg1 0.500 0.500 0.500

Calculated values
Uncorrected energy = -5.20 eV/atom
Relative energy among the computed polymorphs = 321.8 meV/atom
Space-group type = F-43m, No. 216